P | Sr3C, optimized geometry, DFT GGA-PBE; theoretical density = 3.659 g/cm3; crystal system = cubic
1.0
6.295 0.000 0.000
0.000 6.295 0.000
0.000 0.000 6.295
Sr C
6 2
Direct
0.000 0.250 0.500
0.000 0.750 0.500
0.250 0.500 0.000
0.500 0.000 0.250
0.500 0.000 0.750
0.750 0.500 0.000
0.000 0.000 0.000
0.500 0.500 0.500

---

Q | Sr3C, optimized geometry, DFT GGA-PBE; theoretical density = 3.470 g/cm3; crystal system = tetragonal
1.0
3.552 0.000 0.000
0.000 3.552 0.000
0.000 0.000 10.422
Sr C
3 1
Direct
0.000 0.000 0.000
0.500 0.500 0.354
0.500 0.500 0.646
0.000 0.000 0.500

---

Energetically preferred structure: Q | next structure: +669 meV/atom

---

P | Sr3C, optimized geometry, DFT GGA-PBE; theoretical density = 2.184 g/cm3; crystal system = tetragonal
1.0
-2.724 2.724 14.077
2.724 -2.724 14.077
2.724 2.724 -14.077
Sr C
6 2
Direct
0.000 0.500 0.500
0.131 0.131 0.000
0.250 0.750 0.500
0.500 0.000 0.500
0.750 0.250 0.500
0.869 0.869 0.000
0.477 0.477 0.000
0.523 0.523 0.000

---

Q | Sr3C, optimized geometry, DFT GGA-PBE; theoretical density = 3.120 g/cm3; crystal system = hexagonal
1.0
3.968 0.000 0.000
-1.984 3.436 0.000
0.000 0.000 10.728
Sr C
3 1
Direct
0.000 0.000 0.000
0.667 0.333 0.353
0.667 0.333 0.647
0.000 0.000 0.500

---

Energetically preferred structure: P | next structure: +114 meV/atom

---

P | Sr3C, optimized geometry, DFT GGA-PBE; theoretical density = 3.513 g/cm3; crystal system = orthorhombic
1.0
-1.760 2.580 7.154
1.760 -2.580 7.154
1.760 2.580 -7.154
Sr C
3 1
Direct
0.000 0.000 0.000
0.353 0.853 0.500
0.647 0.147 0.500
0.500 0.500 0.000

---

Q | Sr3C, optimized geometry, DFT GGA-PBE; theoretical density = 2.937 g/cm3; crystal system = monoclinic
1.0
3.605 -2.027 0.000
3.605 2.027 0.000
-2.182 0.000 10.637
Sr C
3 1
Direct
0.000 0.000 0.000
0.210 0.210 0.633
0.790 0.790 0.367
0.500 0.500 0.500

---

Energetically preferred structure: Q | next structure: +123 meV/atom

---

P | Sr4C3, optimized geometry, DFT GGA-PBE; theoretical density = 3.552 g/cm3; crystal system = cubic
1.0
5.653 0.000 0.000
0.000 5.653 0.000
0.000 0.000 5.653
Sr C
4 3
Direct
0.000 0.000 0.000
0.000 0.500 0.500
0.500 0.000 0.500
0.500 0.500 0.000
0.000 0.000 0.500
0.000 0.500 0.000
0.500 0.000 0.000

---

Q | Sr4C3, optimized geometry, DFT GGA-PBE; theoretical density = 4.151 g/cm3; crystal system = hexagonal
1.0
5.380 0.000 0.000
-2.690 4.660 0.000
0.000 0.000 6.167
Sr C
4 3
Direct
0.000 0.000 0.213
0.000 0.000 0.787
0.333 0.667 0.500
0.667 0.333 0.500
0.000 0.500 0.000
0.500 0.000 0.000
0.500 0.500 0.000

---

R | Sr4C3, optimized geometry, DFT GGA-PBE; theoretical density = 2.767 g/cm3; crystal system = cubic
1.0
6.144 0.000 0.000
0.000 6.144 0.000
0.000 0.000 6.144
Sr C
4 3
Direct
0.234 0.234 0.234
0.234 0.766 0.766
0.766 0.234 0.766
0.766 0.766 0.234
0.000 0.000 0.500
0.000 0.500 0.000
0.500 0.000 0.000

---

Energetically preferred structure: P | next structure: +179 meV/atom

---

P | Sr3C5, optimized geometry, DFT GGA-PBE; theoretical density = 3.503 g/cm3; crystal system = tetragonal
1.0
3.897 0.000 0.000
0.000 3.897 0.000
0.000 0.000 10.080
Sr C
3 5
Direct
0.000 0.000 0.000
0.500 0.500 0.326
0.500 0.500 0.674
0.000 0.000 0.366
0.000 0.000 0.500
0.000 0.000 0.634
0.500 0.500 0.063
0.500 0.500 0.937

---

Q | Sr3C5, optimized geometry, DFT GGA-PBE; theoretical density = 3.991 g/cm3; crystal system = orthorhombic
1.0
2.868 -4.518 0.000
2.868 4.518 0.000
0.000 0.000 5.185
Sr C
3 5
Direct
0.000 0.000 0.000
0.323 0.677 0.500
0.677 0.323 0.500
0.000 0.500 0.000
0.110 0.110 0.500
0.500 0.000 0.000
0.500 0.500 0.000
0.890 0.890 0.500

---

R | Sr3C5, optimized geometry, DFT GGA-PBE; theoretical density = 3.854 g/cm3; crystal system = monoclinic
1.0
7.400 0.000 0.000
0.000 5.274 0.000
-3.463 0.000 7.130
Sr C
6 10
Direct
0.000 0.000 0.000
0.099 0.000 0.544
0.278 0.500 0.879
0.506 0.000 0.326
0.643 0.500 0.682
0.811 0.500 0.248
0.130 0.500 0.157
0.210 0.500 0.504
0.232 0.349 0.344
0.232 0.651 0.344
0.375 0.500 0.284
0.386 0.000 0.942
0.573 0.156 0.012
0.573 0.844 0.012
0.736 0.000 0.153
0.810 0.000 0.646

---

Energetically preferred structure: P | next structure: +472 meV/atom

---

P | Sr2C3, optimized geometry, DFT GGA-PBE; theoretical density = 3.599 g/cm3; crystal system = orthorhombic
1.0
0.000 7.531 2.082
6.215 0.000 2.082
6.215 7.531 0.000
Sr C
4 6
Direct
0.042 0.458 0.137
0.113 0.887 0.208
0.458 0.042 0.363
0.887 0.113 0.792
0.128 0.352 0.863
0.257 0.257 0.743
0.352 0.128 0.657
0.387 0.593 0.122
0.507 0.507 0.993
0.593 0.387 0.898

---

Q | Sr2C3, optimized geometry, DFT GGA-PBE; theoretical density = 3.503 g/cm3; crystal system = trigonal
1.0
4.497 0.000 0.000
-2.249 3.895 0.000
0.000 0.000 5.718
Sr C
2 3
Direct
0.333 0.667 0.257
0.667 0.333 0.743
0.000 0.000 0.500
0.333 0.667 0.735
0.667 0.333 0.265

---

Energetically preferred structure: P | next structure: +1891 meV/atom

---

P | Sr2TaC2, optimized geometry, DFT GGA-PBE; theoretical density = 6.922 g/cm3; crystal system = tetragonal
1.0
6.544 0.000 0.000
0.000 6.544 0.000
0.000 0.000 4.260
Sr Ta C
4 2 4
Direct
0.148 0.352 0.000
0.352 0.852 0.000
0.648 0.148 0.000
0.852 0.648 0.000
0.000 0.000 0.500
0.500 0.500 0.500
0.194 0.694 0.500
0.306 0.194 0.500
0.694 0.806 0.500
0.806 0.306 0.500

---

Q | Sr2TaC2, optimized geometry, DFT GGA-PBE; theoretical density = 7.035 g/cm3; crystal system = tetragonal
1.0
-2.031 2.031 5.439
2.031 -2.031 5.439
2.031 2.031 -5.439
Sr Ta C
2 1 2
Direct
0.250 0.750 0.500
0.750 0.250 0.500
0.000 0.000 0.000
0.437 0.437 0.000
0.563 0.563 0.000

---

Energetically preferred structure: P | next structure: +479 meV/atom

---

P | SrTa3C, optimized geometry, DFT GGA-PBE; theoretical density = 11.609 g/cm3; crystal system = cubic
1.0
4.513 0.000 0.000
0.000 4.513 0.000
0.000 0.000 4.513
Sr Ta C
1 3 1
Direct
0.000 0.000 0.000
0.000 0.500 0.500
0.500 0.000 0.500
0.500 0.500 0.000
0.500 0.500 0.500

---

Q | SrTa3C, optimized geometry, DFT GGA-PBE; theoretical density = 9.428 g/cm3; crystal system = cubic
1.0
4.837 0.000 0.000
0.000 4.837 0.000
0.000 0.000 4.837
Sr Ta C
1 3 1
Direct
0.000 0.000 0.000
0.000 0.000 0.500
0.000 0.500 0.000
0.500 0.000 0.000
0.500 0.500 0.500

---

Energetically preferred structure: P | next structure: +3633 meV/atom

---

P | SrTc3C, optimized geometry, DFT GGA-PBE; theoretical density = 5.188 g/cm3; crystal system = cubic
1.0
5.013 0.000 0.000
0.000 5.013 0.000
0.000 0.000 5.013
Sr Tc C
1 3 1
Direct
0.000 0.000 0.000
0.000 0.000 0.500
0.000 0.500 0.000
0.500 0.000 0.000
0.500 0.500 0.500

---

Q | SrTc3C, optimized geometry, DFT GGA-PBE; theoretical density = 8.283 g/cm3; crystal system = cubic
1.0
4.289 0.000 0.000
0.000 4.289 0.000
0.000 0.000 4.289
Sr Tc C
1 3 1
Direct
0.000 0.000 0.000
0.000 0.500 0.500
0.500 0.000 0.500
0.500 0.500 0.000
0.500 0.500 0.500

---

Energetically preferred structure: Q | next structure: +3608 meV/atom

---

P | SrTcC3, optimized geometry, DFT GGA-PBE; theoretical density = 5.375 g/cm3; crystal system = cubic
1.0
4.091 0.000 0.000
0.000 4.091 0.000
0.000 0.000 4.091
Sr Tc C
1 1 3
Direct
0.000 0.000 0.000
0.500 0.500 0.500
0.000 0.500 0.500
0.500 0.000 0.500
0.500 0.500 0.000

---

Q | SrTcC3, optimized geometry, DFT GGA-PBE; theoretical density = 4.757 g/cm3; crystal system = cubic
1.0
4.261 0.000 0.000
0.000 4.261 0.000
0.000 0.000 4.261
Sr Tc C
1 1 3
Direct
0.000 0.000 0.000
0.500 0.500 0.500
0.000 0.000 0.500
0.000 0.500 0.000
0.500 0.000 0.000

---

Energetically preferred structure: P | next structure: +2986 meV/atom

---

P | SrTeC3, optimized geometry, DFT GGA-PBE; theoretical density = 5.188 g/cm3; crystal system = cubic
1.0
4.316 0.000 0.000
0.000 4.316 0.000
0.000 0.000 4.316
Sr Te C
1 1 3
Direct
0.000 0.000 0.000
0.500 0.500 0.500
0.000 0.500 0.500
0.500 0.000 0.500
0.500 0.500 0.000

---

Q | SrTeC3, optimized geometry, DFT GGA-PBE; theoretical density = 3.936 g/cm3; crystal system = cubic
1.0
4.733 0.000 0.000
0.000 4.733 0.000
0.000 0.000 4.733
Sr Te C
1 1 3
Direct
0.000 0.000 0.000
0.500 0.500 0.500
0.000 0.000 0.500
0.000 0.500 0.000
0.500 0.000 0.000

---

Energetically preferred structure: P | next structure: +1343 meV/atom

---

P | SrTiC3, optimized geometry, DFT GGA-PBE; theoretical density = 3.994 g/cm3; crystal system = cubic
1.0
4.147 0.000 0.000
0.000 4.147 0.000
0.000 0.000 4.147
Sr Ti C
1 1 3
Direct
0.000 0.000 0.000
0.500 0.500 0.500
0.000 0.500 0.500
0.500 0.000 0.500
0.500 0.500 0.000

---

Q | SrTiC3, optimized geometry, DFT GGA-PBE; theoretical density = 3.517 g/cm3; crystal system = cubic
1.0
4.327 0.000 0.000
0.000 4.327 0.000
0.000 0.000 4.327
Sr Ti C
1 1 3
Direct
0.000 0.000 0.000
0.500 0.500 0.500
0.000 0.000 0.500
0.000 0.500 0.000
0.500 0.000 0.000

---

Energetically preferred structure: P | next structure: +2266 meV/atom